# 1
Density functional theory data (PBE) for an optimized crystal structure of CdAs2O.

Results
E_form (uncorrected)   0.47 eV per atom
DFT total energy   -3.321 eV/atom
Space group   Fm-3m, No. 225
Energy above the most stable polymorph in this dataset   0.5338 eV per atom
D(E_F)   0.756 states/eV per atom

a b c (Å): 4.566 4.566 4.566
angles (deg): 60.00 60.00 60.00
Element x y z (fractional)
Cd  0.500  0.500  0.500
As  0.750  0.750  0.750
As  0.250  0.250  0.250
O  0.000  0.000  0.000

# 2
Density functional theory data (PBE) for an optimized crystal structure of Mg2TaSi.

Results
E_form (uncorrected)   0.13 eV per atom
DFT total energy   -4.984 eV/atom
Space group   Imm2, No. 44
D(E_F)   0.869 states/eV per atom

a b c (Å): 5.161 5.161 5.161
angles (deg): 134.57 134.34 66.38
Element x y z (fractional)
Si  0.500  0.500  0.000
Mg  0.749  0.249  0.500
Mg  0.000  0.000  0.000
Ta  0.251  0.751  0.500

# 3
Density functional theory data (PBE) for an optimized crystal structure of CdOs2Ru.

Results
DFT total energy   -7.672 eV/atom
Space group   Cm, No. 8
DFT formation energy   0.490 eV per atom
D(E_F)   1.054 states/eV per atom

a b c (Å): 4.810 4.810 4.956
angles (deg): 80.35 80.35 33.59
Element x y z (fractional)
Os  0.754  0.754  0.770
Os  0.012  0.012  0.955
Ru  0.487  0.487  0.511
Cd  0.247  0.247  0.264

# 4
Density functional theory data (PBE) for an optimized crystal structure of Pm4Pr5Sm2.

Results
DFT total energy   -4.629 eV/atom
Space group   C2/m, No. 12
Energy above the most stable polymorph in this dataset   0.0000 eV per atom
DFT formation energy   0.129 eV per atom
D(E_F)   1.653 states/eV per atom

a b c (Å): 3.534 9.020 12.398
angles (deg): 96.85 98.19 90.00
Element x y z (fractional)
Pm  0.323  0.528  0.646
Pm  0.677  0.472  0.354
Pm  0.954  0.637  0.909
Pm  0.046  0.363  0.091
Pr  0.140  0.116  0.280
Pr  0.500  0.000  0.000
Pr  0.769  0.178  0.539
Pr  0.231  0.822  0.461
Pr  0.860  0.884  0.720
Sm  0.909  0.269  0.819
Sm  0.091  0.731  0.181

# 5
Density functional theory data (PBE) for an optimized crystal structure of ZrCuBi2C.

Results
DFT total energy   -4.252 eV/atom
Space group   P4/mmm, No. 123
DFT formation energy   1.674 eV per atom
D(E_F)   0.767 states/eV per atom

a b c (Å): 4.982 5.076 4.982
angles (deg): 90.00 90.00 90.00
Element x y z (fractional)
Cu  0.000  0.000  0.000
Zr  0.000  0.500  0.000
C  0.500  0.500  0.500
Bi  0.500  0.000  0.000
Bi  0.000  0.000  0.500

# 6
Density functional theory data (PBE) for an optimized crystal structure of SmDyTm2.

Results
DFT total energy   -4.542 eV/atom
Space group   P4/mmm, No. 123
Energy above the most stable polymorph in this dataset   0.0099 eV per atom
DFT formation energy   0.024 eV per atom
D(E_F)   1.446 states/eV per atom

a b c (Å): 4.977 5.011 5.011
angles (deg): 90.00 90.00 90.00
Element x y z (fractional)
Dy  0.500  0.500  0.500
Tm  0.000  0.000  0.500
Tm  0.000  0.500  0.000
Sm  0.500  0.000  0.000

# 7
Density functional theory data (PBE) for an optimized crystal structure of BaOs2Rh.

Results
DFT total energy   -7.325 eV/atom
Space group   P4mm, No. 99
Energy above the most stable polymorph in this dataset   0.2947 eV per atom
DFT formation energy   0.608 eV per atom
D(E_F)   1.055 states/eV per atom

a b c (Å): 2.996 2.996 8.538
angles (deg): 90.00 90.00 90.00
Element x y z (fractional)
Rh  0.000  0.000  0.446
Ba  0.500  0.500  0.750
Os  0.000  0.000  0.064
Os  0.500  0.500  0.241

# 8
Density functional theory data (PBE) for an optimized crystal structure of AgB3O.

Results
E_form (uncorrected)   1.71 eV per atom
DFT total energy   -3.854 eV/atom
Space group   Pm-3m, No. 221
Energy above the most stable polymorph in this dataset   0.0000 eV per atom
D(E_F)   0.246 states/eV per atom

a b c (Å): 3.678 3.678 3.678
angles (deg): 90.00 90.00 90.00
Element x y z (fractional)
B  0.500  0.000  0.000
B  0.000  0.500  0.000
B  0.000  0.000  0.500
Ag  0.500  0.500  0.500
O  0.000  0.000  0.000

# 9
Density functional theory data (PBE) for an optimized crystal structure of BaB3F.

Results
E_form (uncorrected)   1.57 eV per atom
DFT total energy   -3.194 eV/atom
Space group   Pm-3m, No. 221
Energy above the most stable polymorph in this dataset   0.0000 eV per atom
D(E_F)   1.048 states/eV per atom

a b c (Å): 4.456 4.456 4.456
angles (deg): 90.00 90.00 90.00
Element x y z (fractional)
Ba  0.500  0.500  0.500
F  0.000  0.000  0.000
B  0.000  0.000  0.500
B  0.500  0.000  0.000
B  0.000  0.500  0.000

# 10
Density functional theory data (PBE) for an optimized crystal structure of K2TiSb2.

Results
E_form (uncorrected)   -0.21 eV per atom
DFT total energy   -3.882 eV/atom
Space group   P4/mbm, No. 127
D(E_F)   0.826 states/eV per atom

a b c (Å): 7.448 7.448 5.827
angles (deg): 90.00 90.00 90.00
Each line ends with the local moment (μB).
Element x y z (fractional)
Sb  0.644  0.144  0.000  -0.01
Sb  0.856  0.644  0.000  -0.01
Sb  0.144  0.356  0.000  -0.01
Sb  0.356  0.856  0.000  -0.01
K  0.334  0.166  0.500  0.01
K  0.834  0.334  0.500  0.01
K  0.666  0.834  0.500  0.01
K  0.166  0.666  0.500  0.01
Ti  0.500  0.500  0.000  1.37
Ti  0.000  0.000  0.000  1.37

# 11
Density functional theory data (PBE) for an optimized crystal structure of Pm5Pr3Cd.

Results
DFT total energy   -3.961 eV/atom
Space group   C2/m, No. 12
DFT formation energy   0.373 eV per atom
D(E_F)   1.379 states/eV per atom

a b c (Å): 7.712 7.712 11.522
angles (deg): 89.64 89.64 99.15
Element x y z (fractional)
Pr  0.847  0.847  0.758
Pr  0.000  0.000  0.000
Pr  0.334  0.334  0.492
Pr  0.000  0.000  0.500
Pr  0.666  0.666  0.508
Pr  0.153  0.153  0.242
Pm  0.322  0.322  0.001
Pm  0.747  0.253  0.000
Pm  0.990  0.478  0.689
Pm  0.498  0.498  0.759
Pm  0.678  0.678  0.999
Pm  0.010  0.522  0.311
Pm  0.522  0.010  0.311
Pm  0.478  0.990  0.689
Pm  0.253  0.747  0.000
Pm  0.502  0.502  0.241
Cd  0.164  0.164  0.757
Cd  0.836  0.836  0.243

# 12
Density functional theory data (PBE) for an optimized crystal structure of Pm2PrErTm4.

Results
DFT total energy   -4.168 eV/atom
Space group   Imma, No. 74
DFT formation energy   0.423 eV per atom
D(E_F)   2.474 states/eV per atom

a b c (Å): 9.482 9.483 11.794
angles (deg): 128.45 128.45 88.38
Element x y z (fractional)
Er  0.500  0.500  0.500
Er  0.000  0.000  0.000
Tm  0.754  0.246  0.000
Tm  0.745  0.254  0.500
Tm  0.246  0.754  0.000
Tm  0.250  0.251  0.004
Tm  0.750  0.750  0.504
Tm  0.750  0.749  0.996
Tm  0.254  0.745  0.500
Tm  0.250  0.250  0.496
Pm  0.500  0.000  0.500
Pm  0.000  0.000  0.500
Pm  0.500  0.000  0.000
Pm  0.500  0.500  0.000
Pr  0.000  0.500  0.500
Pr  0.000  0.500  0.000

# 13
Density functional theory data (PBE) for an optimized crystal structure of Ba2SbPb.

Results
E_form (uncorrected)   -0.51 eV per atom
DFT total energy   -3.426 eV/atom
Space group   R-3m, No. 166
Energy above the most stable polymorph in this dataset   0.2167 eV per atom
D(E_F)   1.585 states/eV per atom

a b c (Å): 10.419 10.419 10.419
angles (deg): 25.29 25.29 25.29
Element x y z (fractional)
Ba  0.491  0.491  0.491
Ba  0.009  0.009  0.009
Pb  0.250  0.250  0.250
Sb  0.750  0.750  0.750